Computed, not measured: crystalline AgMo2Ir at its relaxed geometry at the PBE level of DFT.

Unit cell a=9.525 b=2.895 c=4.725 alpha=90.00 beta=101.81 gamma=90.00
Space group C2/m (No. 12)
One atom of each set of equivalent atoms:
Ag (0.000, 0.000, 0.000) (multiplicity 2)
Mo (0.243, 0.000, 0.724) (multiplicity 4)
Ir (0.000, 0.500, 0.500) (multiplicity 2)

Its formation energy is 0.31 eV per atom. For the theoretical density, the calculation gives 12812 kg/m3. For the volume, the calculation gives 15.9 A^3/atom. The total moment is 0.00 μB per cell.